No. 1
Be2FeP: optimized geometry, PBE-GGA.

a b c (Å): 4.1117 4.1117 3.2869
angles (deg): 66.44 66.44 47.12
Last column: magnetic moment on the atom in μB.
Atoms (fractional coordinates):
Be: 0.2500 0.2500 0.2501  -0.01
Be: 0.0000 0.0000 0.0000  0.00
Fe: 0.5000 0.5000 0.5000  0.41
P: 0.7500 0.7500 0.7500  0.00

Results
Space group: I-4m2, No. 119
E_tot (eV per atom): -5.535

---

No. 2
Be2FeP: optimized geometry, PBE-GGA.

a b c (Å): 6.3842 6.3842 5.0290
angles (deg): 50.60 50.60 90.00
Last column: magnetic moment on the atom in μB.
Atoms (fractional coordinates):
P: 0.5000 0.5000 0.0000  0.07
Be: 0.8750 0.8391 0.7500  0.01
Fe: 0.0000 0.0000 0.0000  2.11
Be: 0.1609 0.6250 0.2500  0.00
Be: 0.5891 0.1250 0.2500  0.00
Fe: 0.7500 0.2500 0.5000  2.12
P: 0.2500 0.7500 0.5000  0.06
Be: 0.3750 0.4109 0.7500  0.01

Results
Space group: I-42d, No. 122
E_tot (eV per atom): -5.056

---

No. 3
BeFe4P: optimized geometry, PBE-GGA.

a b c (Å): 4.6406 4.6406 4.6406
angles (deg): 60.00 60.00 60.00
Last column: magnetic moment on the atom in μB.
Atoms (fractional coordinates):
P: 0.7500 0.7500 0.7500  0.02
Fe: 0.8760 0.3747 0.3747  1.98
Be: 0.0000 0.0000 0.0000  -0.09
Fe: 0.3747 0.3747 0.8760  1.98
Fe: 0.3747 0.3747 0.3747  1.98
Fe: 0.3747 0.8760 0.3747  1.98

Results
Space group: F-43m, No. 216
E_tot (eV per atom): -6.820

---

No. 4
Be2FeP: optimized geometry, PBE-GGA.

a b c (Å): 2.8861 2.8861 4.5860
angles (deg): 90.00 90.00 90.00
Last column: magnetic moment on the atom in μB.
Atoms (fractional coordinates):
Fe: 0.0000 0.0000 0.5120  0.89
P: 0.5000 0.5000 0.7440  -0.01
Be: 0.5000 0.5000 0.2321  0.00
Be: 0.0000 0.0000 0.0120  0.00

Results
Space group: P4mm, No. 99
E_tot (eV per atom): -5.507

---

No. 5
BeFeP3: optimized geometry, PBE-GGA.

a b c (Å): 4.1188 4.1188 4.1188
angles (deg): 90.00 90.00 90.00
Atoms (fractional coordinates):
Be: 0.0000 0.0000 0.0000
P: 0.0000 0.5000 0.0000
P: 0.5000 0.0000 0.0000
Fe: 0.5000 0.5000 0.5000
P: 0.0000 0.0000 0.5000

Results
Space group: Pm-3m, No. 221
Relative energy among the computed polymorphs (meV per atom): 187

---

No. 6
Be2FeP: optimized geometry, PBE-GGA.

a b c (Å): 2.4520 2.4520 7.0318
angles (deg): 90.00 90.00 98.41
Last column: magnetic moment on the atom in μB.
Atoms (fractional coordinates):
Be: 0.0000 0.0000 0.4804  -0.05
Be: 0.0000 0.0000 0.0196  -0.05
Fe: 0.5000 0.5000 0.2500  1.86
P: 0.5000 0.5000 0.7500  0.01

Results
Space group: Cmmm, No. 65
E_tot (eV per atom): -5.150

---

No. 7
Be2FeP: optimized geometry, PBE-GGA.

a b c (Å): 2.4403 2.4403 7.0131
angles (deg): 90.00 90.00 90.04
Last column: magnetic moment on the atom in μB.
Atoms (fractional coordinates):
P: 0.5000 0.5000 0.7476  0.03
Be: 0.0000 0.0000 0.0338  0.00
Be: 0.5000 0.5000 0.2409  -0.04
Fe: 0.0000 0.0000 0.4776  2.13

Results
Space group: P4mm, No. 99
E_tot (eV per atom): -5.114

---

No. 8
Be2FeP: optimized geometry, PBE-GGA.

a b c (Å): 3.7570 2.5396 4.3663
angles (deg): 101.12 90.00 90.00
Last column: magnetic moment on the atom in μB.
Atoms (fractional coordinates):
Fe: 0.0000 0.6317 0.4664  1.18
P: 0.5000 0.8157 0.7406  -0.01
Be: 0.5000 0.0786 0.2755  -0.03
Be: 0.0000 0.9740 0.0175  -0.02

Results
Space group: Pm, No. 6
E_tot (eV per atom): -5.379

---

No. 9
Be2FeP: optimized geometry, PBE-GGA.

a b c (Å): 7.3620 7.3620 7.3620
angles (deg): 20.34 20.34 20.34
Last column: magnetic moment on the atom in μB.
Atoms (fractional coordinates):
P: 0.7500 0.7500 0.7500  0.01
Fe: 0.2500 0.2500 0.2500  1.98
Be: 0.0004 0.0004 0.0004  -0.02
Be: 0.4996 0.4996 0.4996  -0.02

Results
Space group: R-3m, No. 166
E_tot (eV per atom): -5.110

---

No. 10
Be2FeP: optimized geometry, PBE-GGA.

a b c (Å): 3.7200 3.7200 3.7200
angles (deg): 60.00 60.00 60.00
Atoms (fractional coordinates):
P: 0.7500 0.7500 0.7500
Be: 0.2500 0.2500 0.2500
Be: 0.0000 0.0000 0.0000
Fe: 0.5000 0.5000 0.5000

Results
Space group: F-43m, No. 216
E_tot (eV per atom): -5.346

---

No. 11
BeFeP2S: optimized geometry, PBE-GGA.

a b c (Å): 4.1072 4.1072 5.1278
angles (deg): 90.00 90.00 90.00
Atoms (fractional coordinates):
Fe: 0.0000 0.0000 0.0000
P: 0.5000 0.0000 0.0000
S: 0.0000 0.0000 0.5000
P: 0.0000 0.5000 0.0000
Be: 0.5000 0.5000 0.5000

Results
Space group: P4/mmm, No. 123
Relative energy among the computed polymorphs (meV per atom): 0

---

No. 12
BeFeP2S: optimized geometry, PBE-GGA.

a b c (Å): 4.1133 4.1133 4.5528
angles (deg): 90.00 90.00 90.00
Last column: magnetic moment on the atom in μB.
Atoms (fractional coordinates):
S: 0.0000 0.0000 0.5000  -0.09
Be: 0.0000 0.0000 0.0000  0.00
Fe: 0.5000 0.5000 0.5000  3.14
P: 0.0000 0.5000 0.0000  -0.10
P: 0.5000 0.0000 0.0000  -0.10

Results
Space group: P4/mmm, No. 123
Relative energy among the computed polymorphs (meV per atom): 78